VASP calculation (PBE) on crystalline NaPaPtAu at its relaxed geometry.

**SG**: F-43m, No. 216
**E_tot**: -5.4424 eV/atom
**Density of states at the Fermi level**: 3.446 states/eV per cell

Geometry as POSCAR:
```
NaPaPtAu
1.0
-2.285 1.653 4.019
0.557 -2.341 4.279
2.589 2.079 3.617
Na Pa Au Pt
1 1 1 1
Direct
0.500 0.500 0.500
0.000 0.000 0.000
0.250 0.250 0.250
0.750 0.750 0.750
```